(1)
Below is TaMnReSi after structural relaxation, with properties calculated at the GGA-PBE level.

Summary:
V, Å³ per atom: 14.01
Uncorrected formation energy, meV per atom: -262.1
Space-group type: F-43m
Theoretical density, g/cm³: 13.3
E_tot, eV per atom: -9.99

Cell lengths 4.295, 4.295, 4.295 Å; angles 60.00, 60.00, 60.00 degrees
Atoms (fractional coordinates):
Ta: 0.000 0.000 0.000
Mn: 0.750 0.750 0.750
Re: 0.250 0.250 0.250
Si: 0.500 0.500 0.500


(2)
Below is LiSeO3 after structural relaxation, with properties calculated at the GGA-PBE level.

Summary:
V, Å³ per atom: 16.46
Uncorrected formation energy, meV per atom: -1024.5
Space-group type: P2_12_12_1
Theoretical density, g/cm³: 2.7
E_tot, eV per atom: -5.08

Cell lengths 5.222, 5.884, 10.715 Å; angles 90.00, 90.00, 90.00 degrees
Atoms (fractional coordinates):
Li: 0.190 0.202 0.415
Li: 0.310 0.798 0.915
Li: 0.690 0.298 0.585
Li: 0.810 0.702 0.085
Se: 0.183 0.617 0.614
Se: 0.317 0.383 0.114
Se: 0.683 0.883 0.386
Se: 0.817 0.117 0.886
O: 0.130 0.097 0.929
O: 0.173 0.623 0.060
O: 0.205 0.622 0.770
O: 0.295 0.378 0.270
O: 0.327 0.377 0.560
O: 0.370 0.903 0.429
O: 0.630 0.403 0.071
O: 0.673 0.877 0.940
O: 0.705 0.878 0.230
O: 0.795 0.122 0.730
O: 0.827 0.123 0.440
O: 0.870 0.597 0.571


(3)
Below is SmEuGdAg after structural relaxation, with properties calculated at the GGA-PBE level.

Summary:
V, Å³ per atom: 29.09
Space-group type: F-43m
Theoretical density, g/cm³: 8.1
Energy relative to the elements, eV/atom: 0.089
E_tot, eV per atom: -7.89

Cell lengths 5.480, 5.480, 5.480 Å; angles 60.00, 60.00, 60.00 degrees
Atoms (fractional coordinates):
Sm: 0.000 0.000 0.000
Eu: 0.250 0.250 0.250
Gd: 0.500 0.500 0.500
Ag: 0.750 0.750 0.750


(4)
Below is K3TlAu2 after structural relaxation, with properties calculated at the GGA-PBE level.

Summary:
V, Å³ per atom: 35.41
Space-group type: Cmcm
Theoretical density, g/cm³: 5.6
Energy relative to the elements, eV/atom: -0.187
E_tot, eV per atom: -2.22

Cell lengths 7.524, 7.524, 7.532 Å; angles 90.00, 90.00, 94.66 degrees
Atoms (fractional coordinates):
K: 0.060 0.564 0.250
K: 0.071 0.929 0.750
K: 0.436 0.940 0.250
K: 0.564 0.060 0.750
K: 0.929 0.071 0.250
K: 0.940 0.436 0.750
Tl: 0.431 0.569 0.750
Tl: 0.569 0.431 0.250
Au: 0.279 0.279 0.000
Au: 0.279 0.279 0.500
Au: 0.721 0.721 0.000
Au: 0.721 0.721 0.500


(5)
Below is KGaSbTe2 after structural relaxation, with properties calculated at the GGA-PBE level.

Summary:
V, Å³ per atom: 34.45
Uncorrected formation energy, meV per atom: -52.9
Space-group type: P4/mmm
Theoretical density, g/cm³: 4.7
E_tot, eV per atom: -2.96

Cell lengths 5.719, 5.719, 5.266 Å; angles 90.00, 90.00, 90.00 degrees
Atoms (fractional coordinates):
K: 0.000 0.000 0.000
Ga: 0.500 0.500 0.500
Sb: 0.500 0.500 0.000
Te: 0.000 0.500 0.500
Te: 0.500 0.000 0.500


(6)
Below is CsLi2Cu2Br6 after structural relaxation, with properties calculated at the GGA-PBE level.

Summary:
V, Å³ per atom: 34.55
Uncorrected formation energy, meV per atom: -995.0
Space-group type: P-1
Theoretical density, g/cm³: 3.3
E_tot, eV per atom: -3.08

Cell lengths 6.841, 6.946, 8.934 Å; angles 104.83, 110.62, 92.37 degrees
Atoms (fractional coordinates):
Cs: 0.000 0.000 0.000
Li: 0.356 0.841 0.539
Li: 0.644 0.159 0.461
Cu: 0.469 0.532 0.286
Cu: 0.531 0.468 0.714
Br: 0.133 0.620 0.246
Br: 0.284 0.188 0.507
Br: 0.405 0.761 0.809
Br: 0.595 0.239 0.191
Br: 0.716 0.812 0.493
Br: 0.867 0.380 0.754


(7)
Below is AcGd2Cu after structural relaxation, with properties calculated at the GGA-PBE level.

Summary:
V, Å³ per atom: 29.60
Space-group type: P4/mmm
Theoretical density, g/cm³: 8.5
Energy relative to the elements, eV/atom: -0.059
E_tot, eV per atom: -9.15

Cell lengths 3.643, 3.643, 8.922 Å; angles 90.00, 90.00, 90.00 degrees
Atoms (fractional coordinates):
Ac: 0.000 0.000 0.000
Gd: 0.500 0.500 0.313
Gd: 0.500 0.500 0.687
Cu: 0.000 0.000 0.500


(8)
Below is PtRh4 after structural relaxation, with properties calculated at the GGA-PBE level.

Summary:
V, Å³ per atom: 18.95
Space-group type: Im-3m
Theoretical density, g/cm³: 10.6
Energy relative to the elements, eV/atom: 1.025
E_tot, eV per atom: -6.06

Cell lengths 4.974, 4.974, 4.974 Å; angles 109.47, 109.47, 109.47 degrees
Atoms (fractional coordinates):
Pt: 0.000 0.000 0.000
Rh: 0.000 0.000 0.500
Rh: 0.000 0.500 0.000
Rh: 0.500 0.000 0.000
Rh: 0.500 0.500 0.500


(9)
Below is ErIn3Pt2 after structural relaxation, with properties calculated at the GGA-PBE level.

Summary:
V, Å³ per atom: 21.39
Space-group type: Pmc2_1
Theoretical density, g/cm³: 11.7
Energy relative to the elements, eV/atom: -0.702
E_tot, eV per atom: -4.84

Cell lengths 4.059, 8.593, 7.359 Å; angles 90.00, 90.00, 90.00 degrees
Atoms (fractional coordinates):
Er: 0.000 0.081 0.000
Er: 0.000 0.919 0.500
In: 0.000 0.317 0.600
In: 0.000 0.683 0.100
In: 0.500 0.188 0.326
In: 0.500 0.406 0.931
In: 0.500 0.594 0.431
In: 0.500 0.812 0.826
Pt: 0.000 0.382 0.214
Pt: 0.000 0.618 0.714
Pt: 0.500 0.114 0.710
Pt: 0.500 0.886 0.210


(10)
Below is GaNiMo after structural relaxation, with properties calculated at the GGA-PBE level.

Summary:
V, Å³ per atom: 13.61
Space-group type: I4mm
Theoretical density, g/cm³: 9.1
Energy relative to the elements, eV/atom: -0.151
E_tot, eV per atom: -6.70

Cell lengths 5.561, 5.561, 5.561 Å; angles 150.81, 150.81, 41.75 degrees
Atoms (fractional coordinates):
Ga: 0.000 0.000 0.000
Ni: 0.352 0.352 0.000
Mo: 0.688 0.688 0.000


(11)
Below is Sc2RhBrCl after structural relaxation, with properties calculated at the GGA-PBE level.

Summary:
V, Å³ per atom: 24.41
Uncorrected formation energy, meV per atom: 205.8
Space-group type: P4/mmm
Theoretical density, g/cm³: 4.2
E_tot, eV per atom: -4.50

Cell lengths 4.671, 4.671, 5.593 Å; angles 90.00, 90.00, 90.00 degrees
Atoms (fractional coordinates):
Sc: 0.000 0.500 0.000
Sc: 0.500 0.000 0.000
Rh: 0.000 0.000 0.500
Br: 0.500 0.500 0.500
Cl: 0.500 0.500 0.000


(12)
Below is Pr8Al2Zn after structural relaxation, with properties calculated at the GGA-PBE level.

Summary:
V, Å³ per atom: 30.55
Space-group type: Immm
Theoretical density, g/cm³: 6.2
Energy relative to the elements, eV/atom: -0.105
E_tot, eV per atom: -4.38

Cell lengths 8.974, 8.974, 8.974 Å; angles 146.58, 121.07, 69.47 degrees
Atoms (fractional coordinates):
Pr: 0.121 0.342 0.779
Pr: 0.140 0.140 0.000
Pr: 0.324 0.000 0.324
Pr: 0.437 0.658 0.779
Pr: 0.563 0.342 0.221
Pr: 0.676 0.000 0.676
Pr: 0.860 0.860 0.000
Pr: 0.879 0.658 0.221
Al: 0.303 0.803 0.500
Al: 0.697 0.197 0.500
Zn: 0.000 0.500 0.500


(13)
Below is BeNi3Sb after structural relaxation, with properties calculated at the GGA-PBE level.

Summary:
V, Å³ per atom: 19.33
Uncorrected formation energy, meV per atom: 1170.1
Space-group type: Pm-3m
Theoretical density, g/cm³: 5.3
E_tot, eV per atom: -3.87

Cell lengths 4.590, 4.590, 4.590 Å; angles 90.00, 90.00, 90.00 degrees
Atoms (fractional coordinates):
Be: 0.000 0.000 0.000
Ni: 0.000 0.500 0.500
Ni: 0.500 0.000 0.500
Ni: 0.500 0.500 0.000
Sb: 0.500 0.500 0.500


(14)
Below is HgTe2AsN after structural relaxation, with properties calculated at the GGA-PBE level.

Summary:
V, Å³ per atom: 24.52
Uncorrected formation energy, meV per atom: 743.0
Space-group type: P4/mmm
Theoretical density, g/cm³: 7.4
E_tot, eV per atom: -3.17

Cell lengths 5.832, 5.832, 3.605 Å; angles 90.00, 90.00, 90.00 degrees
Atoms (fractional coordinates):
Hg: 0.000 0.000 0.000
Te: 0.000 0.500 0.500
Te: 0.500 0.000 0.500
As: 0.500 0.500 0.500
N: 0.500 0.500 0.000


(15)
Below is PbC2Cl4 after structural relaxation, with properties calculated at the GGA-PBE level.

Summary:
V, Å³ per atom: 45.83
Uncorrected formation energy, meV per atom: 899.8
Space-group type: I4/mmm
Theoretical density, g/cm³: 1.9
E_tot, eV per atom: -3.32

Cell lengths 11.293, 11.293, 11.293 Å; angles 151.81, 151.81, 40.29 degrees
Atoms (fractional coordinates):
Pb: 0.000 0.000 0.000
C: 0.297 0.297 0.000
C: 0.703 0.703 0.000
Cl: 0.000 0.500 0.500
Cl: 0.220 0.220 0.000
Cl: 0.500 0.000 0.500
Cl: 0.780 0.780 0.000


(16)
Below is RbAgAuS after structural relaxation, with properties calculated at the GGA-PBE level.

Summary:
V, Å³ per atom: 26.35
Uncorrected formation energy, meV per atom: -56.6
Space-group type: Amm2
Theoretical density, g/cm³: 6.7
E_tot, eV per atom: -2.86

Cell lengths 3.998, 5.914, 5.914 Å; angles 48.93, 90.00, 90.00 degrees
Atoms (fractional coordinates):
Rb: 0.000 0.000 0.000
Ag: 0.000 0.293 0.293
Au: 0.500 0.676 0.676
S: 0.500 0.440 0.440


(17)
Below is BaTiSb2 after structural relaxation, with properties calculated at the GGA-PBE level.

Summary:
V, Å³ per atom: 35.96
Uncorrected formation energy, meV per atom: -447.0
Space-group type: I-42d
Theoretical density, g/cm³: 4.9
E_tot, eV per atom: -4.96

Cell lengths 7.214, 7.214, 7.214 Å; angles 111.75, 111.75, 105.01 degrees
Atoms (fractional coordinates):
Ba: 0.000 0.000 0.000
Ba: 0.750 0.250 0.500
Ti: 0.250 0.750 0.500
Ti: 0.500 0.500 0.000
Sb: 0.204 0.625 0.079
Sb: 0.375 0.454 0.579
Sb: 0.546 0.125 0.921
Sb: 0.875 0.796 0.421


(18)
Below is PmTmPa2Rh4 after structural relaxation, with properties calculated at the GGA-PBE level.

Summary:
V, Å³ per atom: 21.84
Space-group type: Fmm2
Theoretical density, g/cm³: 11.3
Energy relative to the elements, eV/atom: -0.701
E_tot, eV per atom: -7.90

Cell lengths 6.881, 5.667, 6.669 Å; angles 67.25, 49.41, 63.34 degrees
Atoms (fractional coordinates):
Pm: 0.000 0.000 0.000
Tm: 0.585 0.585 0.415
Pa: 0.230 0.230 0.270
Pa: 0.730 0.730 0.770
Rh: 0.092 0.483 0.908
Rh: 0.238 0.701 0.299
Rh: 0.483 0.092 0.517
Rh: 0.701 0.238 0.762


(19)
Below is Sb2AuBr2 after structural relaxation, with properties calculated at the GGA-PBE level.

Summary:
V, Å³ per atom: 29.55
Uncorrected formation energy, meV per atom: -230.4
Space-group type: P4/mbm
Theoretical density, g/cm³: 6.7
E_tot, eV per atom: -3.20

Cell lengths 7.260, 7.260, 5.606 Å; angles 90.00, 90.00, 90.00 degrees
Atoms (fractional coordinates):
Sb: 0.147 0.353 0.000
Sb: 0.353 0.853 0.000
Sb: 0.647 0.147 0.000
Sb: 0.853 0.647 0.000
Au: 0.000 0.000 0.000
Au: 0.500 0.500 0.000
Br: 0.181 0.319 0.500
Br: 0.319 0.819 0.500
Br: 0.681 0.181 0.500
Br: 0.819 0.681 0.500


(20)
Below is Mg2CN after structural relaxation, with properties calculated at the GGA-PBE level.

Summary:
V, Å³ per atom: 13.71
Uncorrected formation energy, meV per atom: -175.6
Space-group type: Pm
Theoretical density, g/cm³: 2.3
E_tot, eV per atom: -5.36

Cell lengths 5.510, 3.274, 6.080 Å; angles 90.00, 90.61, 90.00 degrees
Atoms (fractional coordinates):
Mg: 0.000 0.000 0.000
Mg: 0.029 0.500 0.637
Mg: 0.527 0.000 0.805
Mg: 0.671 0.500 0.256
C: 0.222 0.000 0.358
C: 0.984 0.000 0.370
N: 0.450 0.000 0.361
N: 0.764 0.500 0.906


(21)
Below is NpPaCdO6 after structural relaxation, with properties calculated at the GGA-PBE level.

Summary:
V, Å³ per atom: 15.48
Uncorrected formation energy, meV per atom: -2653.1
Space-group type: P-31c
Theoretical density, g/cm³: 8.1
E_tot, eV per atom: -8.55

Cell lengths 5.911, 5.911, 9.207 Å; angles 90.00, 90.00, 120.00 degrees
Atoms (fractional coordinates):
Np: 0.333 0.667 0.250
Np: 0.667 0.333 0.750
Pa: 0.333 0.667 0.750
Pa: 0.667 0.333 0.250
Cd: 0.000 0.000 0.000
Cd: 0.000 0.000 0.500
O: 0.006 0.358 0.137
O: 0.006 0.648 0.363
O: 0.352 0.358 0.363
O: 0.352 0.994 0.137
O: 0.358 0.006 0.637
O: 0.358 0.352 0.863
O: 0.642 0.648 0.137
O: 0.642 0.994 0.363
O: 0.648 0.006 0.863
O: 0.648 0.642 0.637
O: 0.994 0.352 0.637
O: 0.994 0.642 0.863


(22)
Below is Mn2In5Br12 after structural relaxation, with properties calculated at the GGA-PBE level.

Summary:
V, Å³ per atom: 32.37
Uncorrected formation energy, meV per atom: -696.9
Space-group type: C2/m
Theoretical density, g/cm³: 4.4
E_tot, eV per atom: -3.44

Cell lengths 9.497, 9.497, 9.402 Å; angles 107.21, 107.21, 50.13 degrees
Atoms (fractional coordinates):
Mn: 0.243 0.757 0.000
Mn: 0.757 0.243 0.000
In: 0.182 0.182 0.844
In: 0.209 0.209 0.367
In: 0.500 0.500 0.500
In: 0.791 0.791 0.633
In: 0.818 0.818 0.156
Br: 0.005 0.005 0.198
Br: 0.090 0.591 0.918
Br: 0.147 0.614 0.425
Br: 0.386 0.853 0.575
Br: 0.409 0.910 0.082
Br: 0.493 0.493 0.801
Br: 0.507 0.507 0.199
Br: 0.591 0.090 0.918
Br: 0.614 0.147 0.425
Br: 0.853 0.386 0.575
Br: 0.910 0.409 0.082
Br: 0.995 0.995 0.802


(23)
Below is Ta2CrAg2S6 after structural relaxation, with properties calculated at the GGA-PBE level.

Summary:
V, Å³ per atom: 20.83
Uncorrected formation energy, meV per atom: -663.0
Space-group type: C2/m
Theoretical density, g/cm³: 6.0
E_tot, eV per atom: -6.46

Cell lengths 5.991, 5.991, 7.702 Å; angles 96.60, 96.60, 121.49 degrees
Atoms (fractional coordinates):
Ta: 0.135 0.865 0.000
Ta: 0.865 0.135 0.000
Cr: 0.500 0.500 0.000
Ag: 0.345 0.655 0.500
Ag: 0.655 0.345 0.500
S: 0.124 0.124 0.783
S: 0.233 0.569 0.180
S: 0.431 0.767 0.820
S: 0.569 0.233 0.180
S: 0.767 0.431 0.820
S: 0.876 0.876 0.217


(24)
Below is ScNbSn2 after structural relaxation, with properties calculated at the GGA-PBE level.

Summary:
V, Å³ per atom: 21.44
Space-group type: P4/mmm
Theoretical density, g/cm³: 7.3
Energy relative to the elements, eV/atom: -0.207
E_tot, eV per atom: -6.31

Cell lengths 3.707, 3.707, 6.242 Å; angles 90.00, 90.00, 90.00 degrees
Atoms (fractional coordinates):
Sc: 0.000 0.000 0.000
Nb: 0.000 0.000 0.500
Sn: 0.500 0.500 0.263
Sn: 0.500 0.500 0.737